# 1
A plane-wave DFT calculation with PBE-GGA was carried out for an optimized crystal structure of TaCoSnPd.

CIF file:
```
data_TaCoSnPd
_symmetry_space_group_name_H-M 'F -4 3 m'
_symmetry_Int_Tables_number 216
_symmetry_space_group_name_Hall 'F -4 2 3'
_cell_length_a 6.387
_cell_length_b 6.387
_cell_length_c 6.387
_cell_angle_alpha 90.00
_cell_angle_beta 90.00
_cell_angle_gamma 90.00
loop_
_atom_site_label
_atom_site_fract_x
_atom_site_fract_y
_atom_site_fract_z
_atom_site_occupancy
Ta1 0.000 0.000 0.000 1
Co1 0.000 0.000 0.500 1
Sn1 0.250 0.250 0.250 1
Pd1 0.250 0.250 0.750 1
```

## Properties
Energy relative to the lowest polymorph listed for this composition = 214.1 meV/atom

---

# 2
A plane-wave DFT calculation with PBE-GGA was carried out for an optimized crystal structure of TaCoSnPd.

CIF file:
```
data_TaCoSnPd
_symmetry_space_group_name_H-M 'F -4 3 m'
_symmetry_Int_Tables_number 216
_symmetry_space_group_name_Hall 'F -4 2 3'
_cell_length_a 6.343
_cell_length_b 6.343
_cell_length_c 6.343
_cell_angle_alpha 90.00
_cell_angle_beta 90.00
_cell_angle_gamma 90.00
loop_
_atom_site_label
_atom_site_fract_x
_atom_site_fract_y
_atom_site_fract_z
_atom_site_occupancy
Ta1 0.000 0.000 0.000 1
Co1 0.250 0.250 0.750 1
Sn1 0.000 0.000 0.500 1
Pd1 0.250 0.250 0.250 1
```

## Properties
Energy relative to the lowest polymorph listed for this composition = 0.0 meV/atom

---

# 3
A plane-wave DFT calculation with PBE-GGA was carried out for an optimized crystal structure of CoTcSnPd.

CIF file:
```
data_CoTcSnPd
_symmetry_space_group_name_H-M 'F -4 3 m'
_symmetry_Int_Tables_number 216
_symmetry_space_group_name_Hall 'F -4 2 3'
_cell_length_a 6.250
_cell_length_b 6.250
_cell_length_c 6.250
_cell_angle_alpha 90.00
_cell_angle_beta 90.00
_cell_angle_gamma 90.00
loop_
_atom_site_label
_atom_site_fract_x
_atom_site_fract_y
_atom_site_fract_z
_atom_site_occupancy
Co1 0.000 0.000 0.000 1
Tc1 0.000 0.000 0.500 1
Sn1 0.250 0.250 0.750 1
Pd1 0.250 0.250 0.250 1
```

## Properties
Energy relative to the lowest polymorph listed for this composition = 0.0 meV/atom

---

# 4
A plane-wave DFT calculation with PBE-GGA was carried out for an optimized crystal structure of CoSnPdW.

CIF file:
```
data_CoSnPdW
_symmetry_space_group_name_H-M 'F -4 3 m'
_symmetry_Int_Tables_number 216
_symmetry_space_group_name_Hall 'F -4 2 3'
_cell_length_a 6.303
_cell_length_b 6.303
_cell_length_c 6.303
_cell_angle_alpha 90.00
_cell_angle_beta 90.00
_cell_angle_gamma 90.00
loop_
_atom_site_label
_atom_site_fract_x
_atom_site_fract_y
_atom_site_fract_z
_atom_site_occupancy
Co1 0.000 0.000 0.000 1
Sn1 0.250 0.250 0.750 1
Pd1 0.250 0.250 0.250 1
W1 0.000 0.000 0.500 1
```

## Properties
Energy relative to the lowest polymorph listed for this composition = 78.3 meV/atom

---

# 5
A plane-wave DFT calculation with PBE-GGA was carried out for an optimized crystal structure of CoSnPdW.

CIF file:
```
data_CoSnPdW
_symmetry_space_group_name_H-M 'F -4 3 m'
_symmetry_Int_Tables_number 216
_symmetry_space_group_name_Hall 'F -4 2 3'
_cell_length_a 6.287
_cell_length_b 6.287
_cell_length_c 6.287
_cell_angle_alpha 90.00
_cell_angle_beta 90.00
_cell_angle_gamma 90.00
loop_
_atom_site_label
_atom_site_fract_x
_atom_site_fract_y
_atom_site_fract_z
_atom_site_occupancy
Co1 0.000 0.000 0.000 1
Sn1 0.250 0.250 0.750 1
Pd1 0.000 0.000 0.500 1
W1 0.250 0.250 0.250 1
```

## Properties
Energy relative to the lowest polymorph listed for this composition = 0.0 meV/atom

---

# 6
A plane-wave DFT calculation with PBE-GGA was carried out for an optimized crystal structure of ZrCoSnPd.

CIF file:
```
data_ZrCoSnPd
_symmetry_space_group_name_H-M 'F -4 3 m'
_symmetry_Int_Tables_number 216
_symmetry_space_group_name_Hall 'F -4 2 3'
_cell_length_a 6.516
_cell_length_b 6.516
_cell_length_c 6.516
_cell_angle_alpha 90.00
_cell_angle_beta 90.00
_cell_angle_gamma 90.00
loop_
_atom_site_label
_atom_site_fract_x
_atom_site_fract_y
_atom_site_fract_z
_atom_site_occupancy
Zr1 0.000 0.000 0.000 1
Co1 0.000 0.000 0.500 1
Sn1 0.250 0.250 0.250 1
Pd1 0.250 0.250 0.750 1
```

## Properties
Energy relative to the lowest polymorph listed for this composition = 275.9 meV/atom

---

# 7
A plane-wave DFT calculation with PBE-GGA was carried out for an optimized crystal structure of ZrCoSnPd.

CIF file:
```
data_ZrCoSnPd
_symmetry_space_group_name_H-M 'F -4 3 m'
_symmetry_Int_Tables_number 216
_symmetry_space_group_name_Hall 'F -4 2 3'
_cell_length_a 6.477
_cell_length_b 6.477
_cell_length_c 6.477
_cell_angle_alpha 90.00
_cell_angle_beta 90.00
_cell_angle_gamma 90.00
loop_
_atom_site_label
_atom_site_fract_x
_atom_site_fract_y
_atom_site_fract_z
_atom_site_occupancy
Zr1 0.000 0.000 0.000 1
Co1 0.250 0.250 0.750 1
Sn1 0.000 0.000 0.500 1
Pd1 0.250 0.250 0.250 1
```

## Properties
Energy relative to the lowest polymorph listed for this composition = 0.0 meV/atom

---

# 8
A plane-wave DFT calculation with PBE-GGA was carried out for an optimized crystal structure of SrCoPd.

CIF file:
```
data_SrCoPd
_symmetry_space_group_name_H-M 'F -4 3 m'
_symmetry_Int_Tables_number 216
_symmetry_space_group_name_Hall 'F -4 2 3'
_cell_length_a 6.786
_cell_length_b 6.786
_cell_length_c 6.786
_cell_angle_alpha 90.00
_cell_angle_beta 90.00
_cell_angle_gamma 90.00
loop_
_atom_site_label
_atom_site_fract_x
_atom_site_fract_y
_atom_site_fract_z
_atom_site_occupancy
Sr1 0.000 0.000 0.000 1
Co1 0.250 0.250 0.750 1
Pd1 0.250 0.250 0.250 1
```

## Properties
Total energy = -3.7317 eV/atom

---

- What is the formula in the third record?
  CoTcSnPd